16
Lattice="6.4626 0.0000 0.0000 0.0000 6.4626 0.0000 0.0000 0.0000 6.4626" Properties=species:S:1:pos:R:3 comment="HfZnCdFe | OQMD via LeMat-Bulk | GGA-PBE | optimized geometry" crystal_system=cubic de_polymorph_mev_per_atom=0.0 e_form_mev_per_atom=159 space_group="No. 216" pbc="T T T"
Hf 0.0000 0.0000 0.0000
Hf 0.0000 3.2313 3.2313
Hf 3.2313 0.0000 3.2313
Hf 3.2313 3.2313 0.0000
Zn 0.0000 0.0000 3.2313
Zn 0.0000 3.2313 0.0000
Zn 3.2313 0.0000 0.0000
Zn 3.2313 3.2313 3.2313
Cd 1.6157 1.6157 1.6157
Cd 1.6157 4.8470 4.8470
Cd 4.8470 1.6157 4.8470
Cd 4.8470 4.8470 1.6157
Fe 1.6157 1.6157 4.8470
Fe 1.6157 4.8470 1.6157
Fe 4.8470 1.6157 1.6157
Fe 4.8470 4.8470 4.8470